Below is a geometry-optimized TiMn2O6 structure, with properties calculated at the GGA-PBEsol level.

Unit cell a=4.9845 b=4.9891 c=9.6904 alpha=90.00 beta=90.00 gamma=119.97
Closest atoms and distances in Å follow each position.
Atoms (fractional coordinates):
Mn 0.3333 0.6666 0.5000  6 O 1.90
Mn 0.8333 0.6666 0.0000  6 O 1.90
Mn 0.6667 0.3334 0.5000  6 O 1.90
Mn 0.1667 0.3334 0.0000  6 O 1.90
O 0.5000 0.3424 0.0991  2 Mn 1.90, 1 Ti 1.96
O 0.0000 0.3424 0.4009  2 Mn 1.90, 1 Ti 1.96
O 0.8424 0.3424 0.9009  2 Mn 1.90, 1 Ti 1.96
O 0.1573 0.0000 0.9007  2 Mn 1.90, 1 Ti 1.96
O 0.3427 0.0000 0.4007  2 Mn 1.90, 1 Ti 1.96
O 0.8427 0.0000 0.0993  2 Mn 1.90, 1 Ti 1.96
O 0.3424 0.3424 0.5991  2 Mn 1.90, 1 Ti 1.96
O 0.5000 0.6576 0.9009  2 Mn 1.90, 1 Ti 1.96
O 0.0000 0.6576 0.5991  2 Mn 1.90, 1 Ti 1.96
O 0.1576 0.6576 0.0991  2 Mn 1.90, 1 Ti 1.96
O 0.6576 0.6576 0.4009  2 Mn 1.90, 1 Ti 1.96
O 0.6573 0.0000 0.5993  2 Mn 1.90, 1 Ti 1.96
Ti 0.0000 0.0000 0.5000  6 O 1.96
Ti 0.5000 0.0000 0.0000  6 O 1.96

Values from the calculation:
Polymorph energy (0 for the lowest one) ... 3 meV/atom
V ... 208.8 Å³ per cell